No. 1
TbCe2Te: optimized geometry, PBE.

Cell lengths 5.4498, 5.4498, 5.4497 Å; angles 60.00, 60.00, 60.00 degrees
With the nearest neighbours (Å) after each atom.
Fractional coordinates of all 4 atoms:
Te  0.0000  0.0000  0.0000  8 Ce 3.34
Ce  0.2501  0.2501  0.2497  4 Tb 3.34, 4 Te 3.34
Ce  0.7499  0.7499  0.7503  4 Tb 3.34, 4 Te 3.34
Tb  0.5000  0.5000  0.5000  8 Ce 3.34

**Space-group type**: Fm-3m
**Formation energy without anion corrections**: -232 meV/atom
**D(E_F)**: 11.7 states/eV/f.u.
**Spin magnetization**: 2.1 μB/f.u.

No. 2
BeCuRh2: optimized geometry, PBE.

Cell lengths 2.7872, 4.4720, 4.0764 Å; angles 90.00, 90.00, 90.00 degrees
With the nearest neighbours (Å) after each atom.
Fractional coordinates of all 4 atoms:
Cu  0.0000  0.5000  0.5000  4 Rh 2.47, 4 Be 2.63
Rh  0.0000  0.0000  0.0000  4 Be 2.47, 4 Rh 2.63
Be  0.5000  0.0000  0.5000  4 Rh 2.47, 4 Cu 2.63
Rh  0.5000  0.5000  0.0000  4 Cu 2.47, 4 Rh 2.63

**Space-group type**: Pmmm
**DFT total energy**: -22.583 eV/cell
**D(E_F)**: 3.4 states/eV/f.u.
**Spin magnetization**: 0.0 μB/f.u.

No. 3
BeSnN3: optimized geometry, PBE.

Cell lengths 3.5959, 3.5959, 3.5959 Å; angles 90.00, 90.00, 90.00 degrees
With the nearest neighbours (Å) after each atom.
Fractional coordinates of all 5 atoms:
Be  0.0000  0.0000  0.0000  6 N 1.80
Sn  0.5000  0.5000  0.5000  12 N 2.54
N  0.0000  0.5000  0.0000  2 Be 1.80
N  0.5000  0.0000  0.0000  2 Be 1.80
N  0.0000  0.0000  0.5000  2 Be 1.80

**Space-group type**: Pm-3m
**Formation energy without anion corrections**: 1290 meV/atom
**D(E_F)**: 3.4 states/eV/f.u.
**Spin magnetization**: 1.4 μB/f.u.

No. 4
Pm5Sm2Tl: optimized geometry, PBE.

Cell lengths 3.5276, 11.3134, 8.8488 Å; angles 129.74, 101.50, 90.00 degrees
With the nearest neighbours (Å) after each atom.
Fractional coordinates of all 8 atoms:
Tl  0.0000  0.0000  0.0000  4 Sm 3.52, 2 Tl 3.53, 8 Pm 3.86
Sm  0.2683  0.7683  0.5365  3 Pm 3.26-3.53, 2 Tl 3.52, 2 Sm 3.53
Pm  0.0000  0.5000  0.0000  2 Sm 3.53, 10 Pm 3.53-3.64
Pm  0.6307  0.3938  0.2615  1 Sm 3.26, 7 Pm 3.44-3.64
Pm  0.3693  0.1323  0.7385  1 Sm 3.26, 7 Pm 3.44-3.64
Pm  0.6307  0.8677  0.2615  1 Sm 3.26, 7 Pm 3.44-3.64
Pm  0.3693  0.6062  0.7385  1 Sm 3.26, 7 Pm 3.44-3.64
Sm  0.7317  0.2317  0.4635  3 Pm 3.26-3.53, 2 Tl 3.52, 2 Sm 3.53

**Space-group type**: Immm
**DFT total energy**: -35.631 eV/cell
**D(E_F)**: 10.1 states/eV/f.u.
**Spin magnetization**: 0.0 μB/f.u.

No. 5
LaAsBr2: optimized geometry, PBE.

Cell lengths 7.5580, 7.5580, 7.5580 Å; angles 145.52, 148.42, 47.44 degrees
With the nearest neighbours (Å) after each atom.
Fractional coordinates of all 4 atoms:
As  0.2254  0.7254  0.5000  2 La 2.97, 4 Br 3.04
La  0.5704  0.5704  0.0000  2 As 2.97, 6 Br 3.05-3.27
Br  0.9844  0.9844  0.0000  4 La 3.27
Br  0.7197  0.2197  0.5000  4 As 3.04, 2 La 3.05

**Space-group type**: Imm2
**Formation energy without anion corrections**: -1019 meV/atom
**D(E_F)**: 1.5 states/eV/f.u.
**Spin magnetization**: 0.0 μB/f.u.

No. 6
Sm3BeC2N6: optimized geometry, PBE.

Cell lengths 5.1789, 5.1789, 6.3000 Å; angles 90.00, 90.00, 120.00 degrees
With the nearest neighbours (Å) after each atom.
Fractional coordinates of all 12 atoms:
N  0.3610  0.1805  0.7069  1 C 1.37
N  0.6390  0.8195  0.2931  1 C 1.37
N  0.1805  0.3610  0.2931  1 C 1.37
Be  0.0000  0.0000  0.5000  6 N 2.08
N  0.8195  0.1805  0.7069  1 C 1.37
N  0.1805  0.8195  0.2931  1 C 1.37
Sm  0.6667  0.3333  0.3317  1 C 2.42, 6 N 2.60
N  0.8195  0.6390  0.7069  1 C 1.37
Sm  0.3333  0.6667  0.6683  1 C 2.42, 6 N 2.60
C  0.6667  0.3333  0.7158  3 N 1.37
C  0.3333  0.6667  0.2842  3 N 1.37
Sm  0.0000  0.0000  0.0000  6 N 2.46

**Space-group type**: P-3m1
**Formation energy without anion corrections**: -633 meV/atom
**D(E_F)**: 2.2 states/eV/f.u.
**Spin magnetization**: 0.0 μB/f.u.

Q: Which of these has the highest spin magnetization?
A: TbCe2Te

Q: The highest D(E_F) belongs to which entry?
A: TbCe2Te

Q: The lowest D(E_F) belongs to which entry?
A: LaAsBr2

Q: Look up the D(E_F) of the fifth one.
A: 1.5 states/eV/f.u.